The following is a DFT calculation (GGA-PBE) of a relaxed Tb2BiS crystal.

```
Tb2BiS
1.0
4.175 -0.001 -0.003
-2.087 3.616 0.003
-2.080 -1.209 6.990
Tb Bi S
2 1 1
direct
0.523 0.261 0.785
0.477 0.739 0.215
0.000 0.500 0.500
0.000 0.000 0.000
```

Computed properties:
Energy above the lowest structure with this stoichiometry ... 0.000 eV per atom

The following is a DFT calculation (GGA-PBE) of a relaxed TbBiS2 crystal.

```
TbBiS2
1.0
-1.184 -2.515 2.773
-2.093 -3.171 -0.990
6.200 -6.404 -0.381
S Tb Bi
2 1 1
direct
0.108 0.108 0.676
0.892 0.892 0.324
0.500 0.500 0.500
0.000 0.000 0.000
```

Computed properties:
Energy ... -21.81 eV/cell

The following is a DFT calculation (GGA-PBE) of a relaxed Tb6BiTe3S2 crystal.

```
Tb6BiTe3S2
1.0
-0.607 -1.927 3.710
-5.342 -5.538 -3.750
8.685 -3.065 -2.577
Tb Bi Te S
6 1 3 2
direct
0.328 0.876 0.655
0.677 0.560 0.354
0.672 0.124 0.345
0.020 0.261 0.040
0.980 0.739 0.960
0.323 0.440 0.646
0.500 0.000 0.000
0.500 0.500 0.000
0.840 0.168 0.681
0.160 0.832 0.319
0.828 0.659 0.656
0.172 0.341 0.344
```

Computed properties:
Energy ... -66.85 eV/cell

The following is a DFT calculation (GGA-PBE) of a relaxed Tb2Tl3BiS6 crystal.

```
Tb2Tl3BiS6
1.0
-3.153 -3.612 5.207
6.895 1.537 0.431
-2.897 7.126 1.586
Tb Tl Bi S
2 3 1 6
direct
0.333 0.667 0.000
0.667 0.333 0.000
0.166 0.834 0.500
0.834 0.166 0.500
0.500 0.500 0.500
0.000 0.000 0.000
0.933 0.592 0.798
0.726 0.726 0.202
0.067 0.408 0.202
0.592 0.933 0.798
0.274 0.274 0.798
0.408 0.067 0.202
```

Computed properties:
Energy ... -58.60 eV/cell

The following is a DFT calculation (GGA-PBE) of a relaxed TbTl2BiS4 crystal.

```
TbTl2BiS4
1.0
4.095 0.000 0.000
0.000 7.828 -0.411
0.000 2.497 6.675
Tb Tl Bi S
1 2 1 4
direct
0.000 0.500 0.500
0.000 0.000 0.000
0.500 0.000 0.500
0.500 0.500 0.000
0.000 0.706 0.758
0.000 0.294 0.242
0.500 0.701 0.273
0.500 0.299 0.727
```

Computed properties:
Energy ... -37.38 eV/cell

The following is a DFT calculation (GGA-PBE) of a relaxed TbYBiS2 crystal.

```
TbYBiS2
1.0
-1.090 4.307 0.805
-3.894 -0.572 -2.214
-0.582 -3.746 6.594
Tb Y Bi S
1 1 1 2
direct
0.854 0.854 0.707
0.147 0.147 0.294
0.500 0.500 0.000
0.750 0.250 0.500
0.250 0.750 0.500
```

Computed properties:
Energy ... -29.70 eV/cell

The following is a DFT calculation (GGA-PBE) of a relaxed TcBiS2 crystal.

```
TcBiS2
1.0
-5.394 -5.043 5.771
-4.979 -7.186 3.375
-2.744 -6.909 5.706
S Bi Tc
2 1 1
direct
0.920 0.920 0.920
0.080 0.080 0.080
0.500 0.500 0.500
0.000 0.000 0.000
```

Computed properties:
Energy ... -20.37 eV/cell

The following is a DFT calculation (GGA-PBE) of a relaxed Tc3BiS crystal.

```
Tc3BiS
1.0
-4.230 1.377 0.443
-1.209 -2.614 -3.419
-0.794 -3.355 2.846
S Bi Tc
1 1 3
direct
0.000 0.000 0.000
0.500 0.500 0.500
0.000 0.500 0.000
0.000 0.000 0.500
0.500 0.000 0.000
```

Computed properties:
Energy above the lowest structure with this stoichiometry ... 0.000 eV per atom

The following is a DFT calculation (GGA-PBE) of a relaxed TcBiS3 crystal.

```
TcBiS3
1.0
-0.742 4.594 0.473
-4.570 -0.661 -0.748
-0.668 -0.581 4.593
S Bi Tc
3 1 1
direct
0.000 0.500 0.000
0.000 0.000 0.500
0.500 0.000 0.000
0.500 0.500 0.500
0.000 0.000 0.000
```

Computed properties:
Energy above the lowest structure with this stoichiometry ... 0.000 eV per atom

The following is a DFT calculation (GGA-PBE) of a relaxed Tc3BiS crystal.

```
Tc3BiS
1.0
4.999 0.000 0.000
0.000 4.999 0.000
0.000 0.000 4.999
S Bi Tc
1 1 3
direct
0.500 0.500 0.500
0.000 0.000 0.000
0.000 0.500 0.000
0.000 0.000 0.500
0.500 0.000 0.000
```

Computed properties:
Energy above the lowest structure with this stoichiometry ... 2.144 eV per atom

The following is a DFT calculation (GGA-PBE) of a relaxed TcBiS2 crystal.

```
TcBiS2
1.0
6.304 0.000 0.000
0.000 6.304 0.000
3.152 3.152 4.880
S Bi Tc
4 2 2
direct
0.542 0.125 0.250
0.208 0.625 0.250
0.375 0.458 0.750
0.875 0.792 0.750
0.000 0.000 0.000
0.750 0.250 0.500
0.500 0.500 0.000
0.250 0.750 0.500
```

Computed properties:
Energy ... -44.60 eV/cell

The following is a DFT calculation (GGA-PBE) of a relaxed TcBiS2 crystal.

```
TcBiS2
1.0
2.010 0.000 8.466
-1.005 1.740 8.466
-1.005 -1.740 8.466
S Bi Tc
2 1 1
direct
0.887 0.887 0.887
0.113 0.113 0.113
0.000 0.000 0.000
0.500 0.500 0.500
```

Computed properties:
Energy ... -23.40 eV/cell

The following is a DFT calculation (GGA-PBE) of a relaxed Ti2TcBiS crystal.

```
Ti2TcBiS
1.0
-2.239 -2.884 -2.695
3.907 -1.561 -1.576
0.076 -3.129 3.286
S Ti Bi Tc
1 2 1 1
direct
0.000 0.000 0.000
0.000 0.000 0.500
0.500 0.000 0.000
0.500 0.500 0.500
0.000 0.500 0.000
```

Computed properties:
Energy ... -34.95 eV/cell

The following is a DFT calculation (GGA-PBE) of a relaxed Tl3TcBi3S8 crystal.

```
Tl3TcBi3S8
1.0
-7.523 -0.305 2.764
2.485 -5.304 -5.460
3.062 -1.004 8.221
Tl Tc Bi S
3 1 3 8
direct
0.000 0.000 0.000
0.000 0.500 0.000
0.500 0.500 0.000
0.000 0.000 0.500
0.500 0.000 0.500
0.500 0.500 0.500
0.000 0.500 0.500
0.262 0.524 0.286
0.738 0.476 0.714
0.790 0.581 0.312
0.210 0.419 0.688
0.790 0.022 0.312
0.210 0.978 0.688
0.231 0.022 0.312
0.769 0.978 0.688
```

Computed properties:
Energy ... -67.46 eV/cell

The following is a DFT calculation (GGA-PBE) of a relaxed BiTeS4 crystal.

```
BiTeS4
1.0
3.849 0.000 0.000
0.000 6.610 -1.194
0.000 -0.033 12.609
Bi Te S
2 2 8
direct
0.500 0.000 0.500
0.000 0.000 0.000
0.000 0.500 0.500
0.500 0.500 0.000
0.500 0.609 0.374
0.000 0.391 0.126
0.500 0.391 0.626
0.000 0.609 0.874
0.000 0.140 0.372
0.500 0.860 0.128
0.000 0.860 0.628
0.500 0.140 0.872
```

Computed properties:
Energy ... -46.69 eV/cell

The following is a DFT calculation (GGA-PBE) of a relaxed BiTe2S crystal.

```
BiTe2S
1.0
-0.497 -5.182 -2.188
0.768 -2.239 5.127
-8.424 -3.475 2.854
S Te Bi
2 4 2
direct
0.500 0.500 0.000
0.250 0.750 0.500
0.566 0.125 0.250
0.184 0.625 0.250
0.375 0.434 0.750
0.875 0.816 0.750
0.000 0.000 0.000
0.750 0.250 0.500
```

Computed properties:
Energy above the lowest structure with this stoichiometry ... 0.071 eV per atom

The following is a DFT calculation (GGA-PBE) of a relaxed BiTe2S crystal.

```
BiTe2S
1.0
2.019 0.000 10.483
-1.009 1.748 10.483
-1.009 -1.748 10.483
S Te Bi
1 2 1
direct
0.500 0.500 0.500
0.899 0.899 0.899
0.101 0.101 0.101
0.000 0.000 0.000
```

Computed properties:
Energy above the lowest structure with this stoichiometry ... 0.144 eV per atom

The following is a DFT calculation (GGA-PBE) of a relaxed Bi2Te2S crystal.

```
Bi2Te2S
1.0
10.854 -0.015 -0.009
10.011 4.193 -0.009
10.011 2.005 3.683
S Te Bi
1 2 2
direct
0.000 0.000 0.000
0.778 0.778 0.778
0.222 0.222 0.222
0.388 0.388 0.388
0.612 0.612 0.612
```

Computed properties:
Energy above the lowest structure with this stoichiometry ... 0.000 eV per atom

The following is a DFT calculation (GGA-PBE) of a relaxed Bi2Te2S crystal.

```
Bi2Te2S
1.0
-9.319 -4.155 -2.897
-8.774 -5.869 1.024
-10.416 -1.902 0.614
S Te Bi
1 2 2
direct
0.780 0.780 0.780
0.004 0.004 0.004
0.210 0.210 0.210
0.601 0.601 0.601
0.405 0.405 0.405
```

Computed properties:
Energy above the lowest structure with this stoichiometry ... 0.049 eV per atom

The following is a DFT calculation (GGA-PBE) of a relaxed BiTeS4 crystal.

```
BiTeS4
1.0
3.840 0.000 0.000
-1.920 6.899 0.525
0.000 -3.060 5.953
Bi Te S
1 1 4
direct
0.500 0.000 0.500
0.000 0.000 0.000
0.376 0.753 0.053
0.125 0.250 0.418
0.624 0.247 0.947
0.875 0.750 0.582
```

Computed properties:
Energy ... -23.33 eV/cell